1.
Computed, not measured: an optimized crystal structure of Ti3PSe at the PBEsol level of DFT.

POSCAR file:
```
Ti3PSe
1.0
4.515 0.000 0.000
0.000 4.515 0.000
0.000 0.000 4.515
Ti P Se
3 1 1
Direct
0.000 0.000 0.500
0.000 0.500 0.000
0.500 0.000 0.000
0.000 0.000 0.000
0.500 0.500 0.500
```

Output
calculated density = 4.57 Mg/m³
E_tot = -7.092 eV/atom
ΔE_f (raw) = -171 meV/atom

2.
Computed, not measured: an optimized crystal structure of Tl2PSe3 at the PBEsol level of DFT.

POSCAR file:
```
Tl2PSe3
1.0
11.959 0.000 0.000
0.000 8.896 0.000
-2.034 0.000 12.131
Tl P Se
16 8 24
Direct
0.028 0.146 0.317
0.028 0.354 0.817
0.203 0.541 0.051
0.203 0.959 0.551
0.296 0.187 0.242
0.296 0.313 0.742
0.409 0.604 0.574
0.409 0.896 0.074
0.591 0.104 0.926
0.591 0.396 0.426
0.704 0.687 0.258
0.704 0.813 0.758
0.797 0.041 0.449
0.797 0.459 0.949
0.972 0.646 0.183
0.972 0.854 0.683
0.069 0.579 0.483
0.069 0.921 0.983
0.495 0.075 0.574
0.495 0.425 0.074
0.505 0.575 0.926
0.505 0.925 0.426
0.931 0.079 0.017
0.931 0.421 0.517
0.022 0.218 0.587
0.022 0.282 0.087
0.165 0.028 0.867
0.165 0.472 0.367
0.168 0.622 0.649
0.168 0.878 0.149
0.337 0.677 0.876
0.337 0.823 0.376
0.362 0.240 0.507
0.362 0.260 0.007
0.443 0.572 0.202
0.443 0.928 0.702
0.557 0.072 0.298
0.557 0.428 0.798
0.638 0.740 0.993
0.638 0.760 0.493
0.663 0.177 0.624
0.663 0.323 0.124
0.832 0.122 0.851
0.832 0.378 0.351
0.835 0.528 0.633
0.835 0.972 0.133
0.978 0.718 0.913
0.978 0.782 0.413
```

Output
energy above the most stable polymorph in this dataset = 0 meV/atom
calculated density = 6.96 Mg/m³
E_tot = -4.047 eV/atom
ΔE_f (raw) = -280 meV/atom

3.
Computed, not measured: an optimized crystal structure of Tl3PSe at the PBEsol level of DFT.

POSCAR file:
```
Tl3PSe
1.0
5.288 0.000 0.000
0.000 5.288 0.000
0.000 0.000 5.288
Tl P Se
3 1 1
Direct
0.000 0.000 0.500
0.000 0.500 0.000
0.500 0.000 0.000
0.000 0.000 0.000
0.500 0.500 0.500
```

Output
calculated density = 8.12 Mg/m³
E_tot = -3.273 eV/atom
ΔE_f (raw) = 233 meV/atom

4.
Computed, not measured: an optimized crystal structure of TlPSe2 at the PBEsol level of DFT.

POSCAR file:
```
TlPSe2
1.0
8.464 0.000 0.000
0.000 4.144 0.000
-3.187 0.000 11.356
Tl P Se
4 4 8
Direct
0.050 0.000 0.349
0.351 0.448 0.848
0.649 0.948 0.152
0.950 0.500 0.651
0.149 0.088 0.098
0.427 0.628 0.599
0.573 0.128 0.401
0.851 0.588 0.902
0.068 0.949 0.898
0.213 0.957 0.608
0.362 0.509 0.399
0.365 0.420 0.117
0.635 0.920 0.883
0.638 0.009 0.601
0.787 0.457 0.392
0.932 0.449 0.102
```

Output
calculated density = 6.56 Mg/m³
E_tot = -4.170 eV/atom
ΔE_f (raw) = -139 meV/atom

5.
Computed, not measured: an optimized crystal structure of Tl2PSe3 at the PBEsol level of DFT.

POSCAR file:
```
Tl2PSe3
1.0
6.587 0.000 0.000
-2.607 6.131 0.000
-0.558 -3.743 7.962
Tl P Se
4 2 6
Direct
0.053 0.405 0.172
0.325 0.262 0.610
0.675 0.738 0.390
0.947 0.595 0.828
0.440 0.052 0.184
0.560 0.948 0.816
0.093 0.966 0.228
0.284 0.744 0.581
0.456 0.715 0.022
0.544 0.285 0.978
0.716 0.256 0.419
0.907 0.034 0.772
```

Output
energy above the most stable polymorph in this dataset = 86 meV/atom
calculated density = 6.99 Mg/m³
E_tot = -3.962 eV/atom
ΔE_f (raw) = -194 meV/atom

6.
Computed, not measured: an optimized crystal structure of TlPSe2 at the PBEsol level of DFT.

POSCAR file:
```
TlPSe2
1.0
-1.676 2.940 4.712
1.676 -2.940 4.712
1.676 2.940 -4.712
Tl P Se
1 1 2
Direct
0.000 0.000 0.000
0.500 0.500 0.000
0.318 0.818 0.500
0.682 0.182 0.500
```

Output
calculated density = 7.03 Mg/m³
E_tot = -4.000 eV/atom
ΔE_f (raw) = 30 meV/atom